# LiAg12Se7

A relaxed structure of LiAg12Se7 (PBE-GGA, Alexandria).

```
LiAg12Se7
1.0
-4.549 4.638 -4.536
1.715 -6.111 -4.743
-5.117 -3.082 5.205
Ag Se Li
12 7 1
Cartesian
-5.459 2.129 -1.858
-7.264 -1.330 1.115
-4.777 -4.844 -2.286
-4.305 -0.042 -6.103
-1.309 -2.375 -2.449
-5.033 -2.401 -4.518
-0.686 -3.224 -5.188
-3.646 -4.513 2.030
-2.492 -6.683 -2.215
-2.918 -2.154 0.445
-6.642 -2.180 -1.624
-3.174 0.289 -1.787
-4.825 1.804 -4.408
-5.661 -2.841 2.418
-3.975 -2.277 -2.037
-3.126 -6.359 0.335
-7.027 0.945 -0.217
-0.924 -5.500 -3.856
-2.289 -1.714 -6.491
0.000 0.000 0.000
```

Properties
Density of states at the Fermi level, states/eV/atom: 0.605
Formation energy without anion corrections, eV/atom: -0.0584
Total magnetization, μB/atom: 0.00